A relaxed CuAgCl4 crystal, computed with PBE-GGA.

VASP energy: -2.714 eV/atom

Cell and atoms, written as CIF:
```
data_CuAgCl4
_chemical_formula_sum 'Cu1 Ag1 Cl4'
_cell_length_a 6.5989
_cell_length_b 3.4119
_cell_length_c 7.2298
_cell_angle_alpha 90.00
_cell_angle_beta 113.40
_cell_angle_gamma 90.00
_symmetry_space_group_name_H-M 'P 1 2/m 1'
_symmetry_Int_Tables_number 10
loop_
_symmetry_equiv_pos_as_xyz
'x,y,z'
'-x,-y,-z'
'-x,y,-z'
'x,-y,z'
loop_
_atom_site_label
_atom_site_type_symbol
_atom_site_fract_x
_atom_site_fract_y
_atom_site_fract_z
_atom_site_occupancy
Cu1 Cu 0.0000 0.0000 0.0000 1
Ag1 Ag 0.5000 0.5000 0.5000 1
Cl1 Cl 0.2279 0.0000 0.4888 1
Cl2 Cl 0.2371 0.5000 0.0071 1
```

A relaxed HoU crystal, computed with PBE-GGA.

Size of the total moment: 4.3 μB/f.u.
VASP energy: -6.455 eV/atom

Cell and atoms, written as CIF:
```
data_HoU
_chemical_formula_sum 'Ho4 U4'
_cell_length_a 6.2178
_cell_length_b 6.2178
_cell_length_c 6.2178
_cell_angle_alpha 90.00
_cell_angle_beta 90.00
_cell_angle_gamma 90.00
_symmetry_space_group_name_H-M 'F m -3 m'
_symmetry_Int_Tables_number 225
_symmetry_space_group_name_Hall '-F 4 2 3'
loop_
_atom_site_label
_atom_site_type_symbol
_atom_site_fract_x
_atom_site_fract_y
_atom_site_fract_z
_atom_site_occupancy
Ho1 Ho 0.0000 0.0000 0.0000 1
U1 U 0.0000 0.0000 0.5000 1
```

A relaxed ScGaGePt crystal, computed with PBE-GGA.

Size of the total moment: 0.0 μB/f.u.
VASP energy: -5.799 eV/atom

Cell and atoms, written as CIF:
```
data_ScGaGePt
_chemical_formula_sum 'Sc4 Ga4 Ge4 Pt4'
_cell_length_a 9.9467
_cell_length_b 4.2451
_cell_length_c 6.5804
_cell_angle_alpha 90.00
_cell_angle_beta 91.39
_cell_angle_gamma 90.00
_symmetry_space_group_name_H-M 'C 1 2/m 1'
_symmetry_Int_Tables_number 12
loop_
_symmetry_equiv_pos_as_xyz
'x,y,z'
'-x,-y,-z'
'-x,y,-z'
'x,-y,z'
'x+1/2,y+1/2,z'
'-x+1/2,-y+1/2,-z'
'-x+1/2,y+1/2,-z'
'x+1/2,-y+1/2,z'
loop_
_atom_site_label
_atom_site_type_symbol
_atom_site_fract_x
_atom_site_fract_y
_atom_site_fract_z
_atom_site_occupancy
Sc1 Sc 0.0827 0.0000 0.2484 1
Ga1 Ga 0.1282 0.5000 0.9562 1
Ge1 Ge 0.1252 0.5000 0.5440 1
Pt1 Pt 0.2001 0.0000 0.7415 1
```

A relaxed Sr2ZnPdPt crystal, computed with PBE-GGA.

Size of the total moment: 0.0 μB/f.u.
VASP energy: -3.875 eV/atom

Cell and atoms, written as CIF:
```
data_Sr2ZnPdPt
_chemical_formula_sum 'Sr4 Zn2 Pd2 Pt2'
_cell_length_a 4.4062
_cell_length_b 9.3586
_cell_length_c 5.8648
_cell_angle_alpha 90.00
_cell_angle_beta 90.00
_cell_angle_gamma 90.00
_symmetry_space_group_name_H-M 'I m m 2'
_symmetry_Int_Tables_number 44
loop_
_symmetry_equiv_pos_as_xyz
'x,y,z'
'-x,-y,z'
'-x,y,z'
'x,-y,z'
'x+1/2,y+1/2,z+1/2'
'-x+1/2,-y+1/2,z+1/2'
'-x+1/2,y+1/2,z+1/2'
'x+1/2,-y+1/2,z+1/2'
loop_
_atom_site_label
_atom_site_type_symbol
_atom_site_fract_x
_atom_site_fract_y
_atom_site_fract_z
_atom_site_occupancy
Sr1 Sr 0.0000 0.1957 0.0000 1
Zn1 Zn 0.0000 0.0000 0.5055 1
Pd1 Pd 0.0000 0.5000 0.7490 1
Pt1 Pt 0.0000 0.5000 0.2515 1
```

A relaxed La3Ta2P6 crystal, computed with PBE-GGA.

Size of the total moment: 0.0 μB/f.u.
VASP energy: -7.472 eV/atom

Cell and atoms, written as CIF:
```
data_La3Ta2P6
_chemical_formula_sum 'La6 Ta4 P12'
_cell_length_a 4.7571
_cell_length_b 4.7571
_cell_length_c 23.2836
_cell_angle_alpha 90.00
_cell_angle_beta 90.00
_cell_angle_gamma 90.00
_symmetry_space_group_name_H-M 'I 4/m m m'
_symmetry_Int_Tables_number 139
_symmetry_space_group_name_Hall '-I 4 2'
loop_
_atom_site_label
_atom_site_type_symbol
_atom_site_fract_x
_atom_site_fract_y
_atom_site_fract_z
_atom_site_occupancy
La1 La 0.0000 0.0000 0.0000 1
La2 La 0.0000 0.0000 0.1701 1
Ta1 Ta 0.0000 0.0000 0.3965 1
P1 P 0.0000 0.0000 0.2962 1
P2 P 0.0000 0.5000 0.0813 1
```